! La2Tb12Y5 GGA-PBE optimized geometry; values from VASP
&SYSTEM
  ibrav = 0, nat = 19, ntyp = 3
/
ATOMIC_SPECIES
La 138.91 La.upf
Tb 158.93 Tb.upf
Y 88.91 Y.upf
ATOMIC_POSITIONS angstrom
La 1.661 0.333 0.650
La 8.434 12.304 10.669
Tb 1.909 6.300 3.691
Tb 3.855 9.238 7.530
Tb 3.723 9.213 4.070
Tb 3.372 3.385 8.860
Tb 2.981 3.251 2.010
Tb 5.002 6.556 9.411
Tb 5.093 6.081 1.908
Tb 7.115 9.385 9.309
Tb 6.723 9.252 2.460
Tb 6.372 3.423 7.250
Tb 6.241 3.399 3.790
Tb 8.186 6.336 7.629
Y 4.110 9.613 11.241
Y 3.126 3.427 5.516
Y 5.048 6.318 5.660
Y 6.969 9.209 5.804
Y 5.985 3.024 0.078
CELL_PARAMETERS angstrom
6.307 0.000 0.000
1.670 8.724 0.000
2.119 3.912 11.320
! **Energy above the lowest structure with this stoichiometry**: 0.0000 eV/atom
! **SG**: P-1, No. 2

***

! LaTb5Y12 GGA-PBE optimized geometry; values from VASP
&SYSTEM
  ibrav = 0, nat = 18, ntyp = 3
/
ATOMIC_SPECIES
La 138.91 La.upf
Tb 158.93 Tb.upf
Y 88.91 Y.upf
ATOMIC_POSITIONS angstrom
La 0.000 0.000 0.000
Tb 1.798 2.531 8.931
Tb 3.569 0.000 7.161
Tb 5.358 2.531 5.372
Tb 7.147 0.000 3.584
Tb 8.918 2.531 1.814
Y -0.002 0.000 7.144
Y 1.800 2.531 1.804
Y 1.798 2.531 5.378
Y 3.580 0.000 3.589
Y 3.580 0.000 10.735
Y 5.369 2.531 1.809
Y 5.347 2.531 8.935
Y 7.136 0.000 0.009
Y 7.136 0.000 7.156
Y 8.918 2.531 5.367
Y 8.916 2.531 8.941
Y 10.718 0.000 3.601
CELL_PARAMETERS angstrom
10.733 0.000 0.000
0.000 5.062 0.000
-0.017 0.000 10.745
! **SG**: P2/m, No. 10

***

! LaTb8Y6 GGA-PBE optimized geometry; values from VASP
&SYSTEM
  ibrav = 0, nat = 15, ntyp = 3
/
ATOMIC_SPECIES
La 138.91 La.upf
Tb 158.93 Tb.upf
Y 88.91 Y.upf
ATOMIC_POSITIONS angstrom
La 0.000 0.000 0.000
Tb -2.749 -1.743 10.911
Tb -2.884 1.509 9.849
Tb 0.135 -3.252 9.849
Tb 0.000 0.000 8.791
Tb 0.000 0.000 11.969
Tb -0.135 3.252 10.911
Tb 2.884 -1.509 10.911
Tb 2.749 1.743 9.849
Y -1.968 0.412 6.075
Y 0.627 -1.910 6.075
Y -1.341 -1.498 14.685
Y 1.341 1.498 6.075
Y -0.627 1.910 14.685
Y 1.968 -0.412 14.685
CELL_PARAMETERS angstrom
4.537 2.619 6.920
-4.537 2.619 6.920
0.000 -5.239 6.920
! **SG**: R-3, No. 148

***

! La2Tb7Y2 GGA-PBE optimized geometry; values from VASP
&SYSTEM
  ibrav = 0, nat = 11, ntyp = 3
/
ATOMIC_SPECIES
La 138.91 La.upf
Tb 158.93 Tb.upf
Y 88.91 Y.upf
ATOMIC_POSITIONS angstrom
La 5.659 3.344 0.000
La 5.659 -3.344 0.000
Tb -1.208 0.000 2.802
Tb 2.903 3.090 1.859
Tb 2.493 0.000 0.472
Tb 5.999 3.090 3.746
Tb 2.903 -3.090 1.859
Tb 6.409 0.000 5.133
Tb 5.999 -3.090 3.746
Y 2.932 0.000 3.863
Y 5.970 0.000 1.741
CELL_PARAMETERS angstrom
5.659 -5.835 0.000
5.659 5.835 0.000
-2.416 0.000 5.605
! **Energy above the lowest structure with this stoichiometry**: 0.0717 eV/atom
! **SG**: C2/m, No. 12

***

Number 1: formation enthalpy at 0 K 117 kJ/mol of formula units. Number 2: formation enthalpy at 0 K 42 kJ/mol of formula units. Number 3: formation enthalpy at 0 K 184 kJ/mol of formula units. Number 4: formation enthalpy at 0 K 164 kJ/mol of formula units.